[1]
A PBEsol-optimized structure of Cs2PdI6. Source: Alexandria via LeMat-Bulk, functional meta-GGA SCAN.

Geometry as CIF:
```
data_Cs2PdI6
_chemical_formula_sum 'Cs2 Pd1 I6'
_cell_length_a 7.901
_cell_length_b 7.901
_cell_length_c 7.901
_cell_angle_alpha 60.00
_cell_angle_beta 60.00
_cell_angle_gamma 60.00
_space_group_name_H-M_alt 'P 1'
_space_group_IT_number 1
_space_group_name_Hall 'P 1'
loop_
_atom_site_label
_atom_site_type_symbol
_atom_site_fract_x
_atom_site_fract_y
_atom_site_fract_z
_atom_site_occupancy
I1 I 0.240 0.760 0.240 1
I2 I 0.240 0.760 0.760 1
I3 I 0.760 0.760 0.240 1
Cs1 Cs 0.750 0.750 0.750 1
I4 I 0.760 0.240 0.760 1
Pd1 Pd 0.000 0.000 0.000 1
Cs2 Cs 0.250 0.250 0.250 1
I5 I 0.240 0.240 0.760 1
I6 I 0.760 0.240 0.240 1
```

Values from the calculation:
Space-group type = No. 225
Raw total energy = -37.425 eV per atom
Energy relative to the elements, uncorrected = -0.887 eV per atom

---

[2]
A PBEsol-optimized structure of Sr7H12Cl2. Source: Alexandria via LeMat-Bulk, functional meta-GGA SCAN.

Geometry as CIF:
```
data_Sr7H12Cl2
_chemical_formula_sum 'Sr7 H12 Cl2'
_cell_length_a 3.878
_cell_length_b 9.787
_cell_length_c 9.787
_cell_angle_alpha 120.00
_cell_angle_beta 90.00
_cell_angle_gamma 90.00
_space_group_name_H-M_alt 'P 1'
_space_group_IT_number 1
_space_group_name_Hall 'P 1'
loop_
_atom_site_label
_atom_site_type_symbol
_atom_site_fract_x
_atom_site_fract_y
_atom_site_fract_z
_atom_site_occupancy
H1 H 0.000 0.824 0.611 1
H2 H 0.500 0.227 0.284 1
Sr1 Sr 0.000 0.363 0.442 1
H3 H 0.000 0.787 0.176 1
H4 H 0.500 0.883 0.440 1
H5 H 0.500 0.716 0.943 1
H6 H 0.000 0.091 0.392 1
Sr2 Sr 0.500 0.949 0.216 1
Sr3 Sr 0.000 0.079 0.637 1
H7 H 0.500 0.560 0.443 1
Sr4 Sr 0.500 0.267 0.051 1
H8 H 0.000 0.302 0.909 1
Sr5 Sr 0.000 0.558 0.921 1
Cl1 Cl 0.000 0.000 0.000 1
Cl2 Cl 0.500 0.333 0.667 1
H9 H 0.500 0.057 0.773 1
Sr6 Sr 0.000 0.667 0.333 1
H10 H 0.000 0.389 0.213 1
Sr7 Sr 0.500 0.784 0.733 1
H11 H 0.500 0.557 0.117 1
H12 H 0.000 0.608 0.698 1
```

Values from the calculation:
Space-group type = No. 174
Raw total energy = -11.149 eV per atom

---

[3]
A PBEsol-optimized structure of Al3Ru. Source: Alexandria via LeMat-Bulk, functional meta-GGA SCAN.

Geometry as CIF:
```
data_Al3Ru
_chemical_formula_sum 'Al3 Ru1'
_cell_length_a 2.880
_cell_length_b 2.880
_cell_length_c 8.577
_cell_angle_alpha 80.34
_cell_angle_beta 80.34
_cell_angle_gamma 60.00
_space_group_name_H-M_alt 'P 1'
_space_group_IT_number 1
_space_group_name_Hall 'P 1'
loop_
_atom_site_label
_atom_site_type_symbol
_atom_site_fract_x
_atom_site_fract_y
_atom_site_fract_z
_atom_site_occupancy
Al1 Al 0.742 0.742 0.774 1
Al2 Al 0.258 0.258 0.226 1
Ru1 Ru 0.000 0.000 0.000 1
Al3 Al 0.500 0.500 0.500 1
```

Values from the calculation:
Space-group type = No. 166
Raw total energy = -14.835 eV per atom

---

[4]
A PBEsol-optimized structure of CaFeTe2. Source: Alexandria via LeMat-Bulk, functional meta-GGA SCAN.

Geometry as CIF:
```
data_CaFeTe2
_chemical_formula_sum 'Ca1 Fe1 Te2'
_cell_length_a 5.147
_cell_length_b 5.147
_cell_length_c 5.147
_cell_angle_alpha 60.00
_cell_angle_beta 60.00
_cell_angle_gamma 60.00
_space_group_name_H-M_alt 'P 1'
_space_group_IT_number 1
_space_group_name_Hall 'P 1'
loop_
_atom_site_label
_atom_site_type_symbol
_atom_site_fract_x
_atom_site_fract_y
_atom_site_fract_z
_atom_site_occupancy
Fe1 Fe 0.250 0.250 0.250 1
Ca1 Ca 0.500 0.500 0.500 1
Te1 Te 0.000 0.000 0.000 1
Te2 Te 0.750 0.750 0.750 1
```

Values from the calculation:
Space-group type = No. 216
Raw total energy = -25.448 eV per atom
Energy relative to the elements, uncorrected = 0.126 eV per atom